# 1
Computed, not measured: a relaxed structure of Ta2InIr at the GGA-PBE level of DFT.

## Properties
Calculated total energy (eV/atom): -8.90
Total magnetization (μB/f.u.): 0.000
Energy of formation (eV per formula unit): -0.31
D(E_F) (states/eV per cell): 3.5

Geometry as CIF:
```
data_Ta2InIr
_cell_length_a 3.0697
_cell_length_b 3.6446
_cell_length_c 6.4386
_cell_angle_alpha 90.00
_cell_angle_beta 90.00
_cell_angle_gamma 90.00
_symmetry_space_group_name_H-M 'P m m 2'
_symmetry_Int_Tables_number 25
_symmetry_space_group_name_Hall 'P 2 -2'
loop_
_atom_site_label
_atom_site_type_symbol
_atom_site_fract_x
_atom_site_fract_y
_atom_site_fract_z
_atom_site_occupancy
Ta1 Ta 0.0000 0.0000 0.0000 1
Ta2 Ta 0.5000 0.5000 0.2540 1
In1 In 0.0000 0.0000 0.5255 1
Ir1 Ir 0.5000 0.5000 0.7810 1
```

=====

# 2
Computed, not measured: a relaxed structure of Ta2InIr at the GGA-PBE level of DFT.

## Properties
Calculated total energy (eV/atom): -8.90
Total magnetization (μB/f.u.): 0.000
Energy of formation (eV per formula unit): -0.30
D(E_F) (states/eV per cell): 5.8

Geometry as CIF:
```
data_Ta2InIr
_cell_length_a 5.7788
_cell_length_b 8.3666
_cell_length_c 2.9108
_cell_angle_alpha 90.00
_cell_angle_beta 90.00
_cell_angle_gamma 90.00
_symmetry_space_group_name_H-M 'C m m m'
_symmetry_Int_Tables_number 65
_symmetry_space_group_name_Hall '-C 2 2'
loop_
_atom_site_label
_atom_site_type_symbol
_atom_site_fract_x
_atom_site_fract_y
_atom_site_fract_z
_atom_site_occupancy
Ta1 Ta 0.2500 0.2500 0.0000 1
In1 In 0.0000 0.0000 0.5000 1
Ir1 Ir 0.0000 0.5000 0.5000 1
```

=====

# 3
Computed, not measured: a relaxed structure of Ta2InIr at the GGA-PBE level of DFT.

## Properties
Calculated total energy (eV/atom): -8.91
Total magnetization (μB/f.u.): 0.000
Energy of formation (eV per formula unit): -0.33
D(E_F) (states/eV per cell): 4.2

Geometry as CIF:
```
data_Ta2InIr
_cell_length_a 4.0386
_cell_length_b 4.0741
_cell_length_c 4.2822
_cell_angle_alpha 90.00
_cell_angle_beta 90.00
_cell_angle_gamma 90.00
_symmetry_space_group_name_H-M 'P m m m'
_symmetry_Int_Tables_number 47
_symmetry_space_group_name_Hall '-P 2 2'
loop_
_atom_site_label
_atom_site_type_symbol
_atom_site_fract_x
_atom_site_fract_y
_atom_site_fract_z
_atom_site_occupancy
Ta1 Ta 0.0000 0.0000 0.0000 1
Ta2 Ta 0.5000 0.5000 0.0000 1
In1 In 0.0000 0.5000 0.5000 1
Ir1 Ir 0.5000 0.0000 0.5000 1
```